Entry 1:
Mg3Zn2Ga4Pd2: relaxed, PBE.

Values from the calculation:
The energy is -3.028 eV per atom.

Cell: 4.3920 4.3920 11.8459 Å, 90.00 90.00 120.00°
Sites, in units of the cell vectors:
Mg (0.0000, 0.0000, 0.0000)
Mg (0.0000, 0.0000, 0.2562)
Mg (0.0000, 0.0000, 0.7438)
Zn (0.3333, 0.6667, 0.5841)
Zn (0.6667, 0.3333, 0.4159)
Ga (0.3333, 0.6667, 0.3595)
Ga (0.3333, 0.6667, 0.8862)
Ga (0.6667, 0.3333, 0.1138)
Ga (0.6667, 0.3333, 0.6405)
Pd (0.3333, 0.6667, 0.1319)
Pd (0.6667, 0.3333, 0.8681)

***

Entry 2:
MgZn2Ga2Pd2: relaxed, PBE.

Values from the calculation:
The energy is -3.372 eV per atom.

Cell: 7.6029 4.3792 7.2333 Å, 90.00 110.36 90.00°
Sites, in units of the cell vectors:
Mg (0.0000, 0.0000, 0.0000)
Mg (0.5000, 0.5000, 0.0000)
Zn (0.1365, 0.0000, 0.4100)
Zn (0.3635, 0.5000, 0.5900)
Zn (0.6365, 0.5000, 0.4100)
Zn (0.8635, 0.0000, 0.5900)
Ga (0.0946, 0.5000, 0.7831)
Ga (0.4054, 0.0000, 0.2169)
Ga (0.5946, 0.0000, 0.7831)
Ga (0.9054, 0.5000, 0.2169)
Pd (0.2356, 0.5000, 0.2086)
Pd (0.2644, 0.0000, 0.7914)
Pd (0.7356, 0.0000, 0.2086)
Pd (0.7644, 0.5000, 0.7914)

***

Question: Which of these has the highest energy?
Answer: Mg3Zn2Ga4Pd2

***

Question: What is the formula in the second record?
Answer: MgZn2Ga2Pd2

***

Question: Look up the energy of the second one.
Answer: -3.372 eV per atom

***

Question: The lowest energy belongs to which entry?
Answer: MgZn2Ga2Pd2